1.
VASP calculation (PBE-GGA) on a relaxed structure of UMn2Si3.

extended XYZ file:
```
12
Lattice="5.876 0.000 -0.980 0.000 5.084 0.000 -0.440 0.000 5.941" Properties=species:S:1:pos:R:3 pbc="T T T"
U 3.522 3.813 3.215
U 1.914 1.271 1.747
Mn 0.871 2.542 4.504
Mn 0.871 0.000 4.504
Mn 4.564 0.000 0.457
Mn 4.564 2.542 0.457
Si 2.780 1.271 4.807
Si 5.040 1.271 2.330
Si 2.656 3.813 0.154
Si 5.179 1.271 4.727
Si 0.257 3.813 0.234
Si 0.395 3.813 2.631
```

Output
Symmetry: Cmcm (63)
Formation energy without anion corrections in kJ/mol of formula units: -191


2.
VASP calculation (PBE-GGA) on a relaxed structure of UMn6Si6.

extended XYZ file:
```
13
Lattice="4.651 0.000 1.859 2.205 5.847 1.230 0.153 0.184 6.364" Properties=species:S:1:pos:R:3 pbc="T T T"
U 0.000 0.000 0.000
Mn 1.103 2.923 0.615
Mn 3.428 2.923 1.545
Mn 0.077 0.092 3.182
Mn 2.402 0.092 4.112
Mn 4.024 4.449 3.426
Mn 2.985 1.581 6.027
Si 3.143 3.966 5.631
Si 3.866 2.065 3.823
Si 0.871 2.166 4.568
Si 1.487 3.865 3.027
Si 1.919 1.069 1.946
Si 5.090 4.962 7.507
```

Output
Symmetry: Immm (71)
Formation energy without anion corrections in kJ/mol of formula units: -496


3.
VASP calculation (PBE-GGA) on a relaxed structure of UMnVSi.

extended XYZ file:
```
4
Lattice="-3.197 1.541 -2.543 -0.085 -1.003 -4.249 -3.058 -2.707 -1.543" Properties=species:S:1:pos:R:3 pbc="T T T"
Si 0.000 0.000 0.000
Mn -4.755 -1.626 -6.251
U -3.170 -1.084 -4.168
V -1.585 -0.542 -2.084
```

Output
Symmetry: F-43m (216)
Formation energy without anion corrections in kJ/mol of formula units: -36


Among the records above, which one has the highest formation energy without anion corrections?
UMnVSi


Which of these has the highest formation energy without anion corrections?
UMnVSi